(1)
Compound: TcPb2Br
Source: Alexandria via LeMat-Bulk
Functional: PBE-GGA
Structure: optimized geometry

a = 5.2723 Å, b = 5.2723 Å, c = 5.2723 Å
α = 60.00°, β = 60.00°, γ = 60.00°
With the nearest neighbours (Å) after each atom.
Positions (direct):
Tc 0.0000 0.0000 0.0000  8 Pb 3.23
Pb 0.2500 0.2500 0.2500  4 Br 3.23, 4 Tc 3.23
Pb 0.7500 0.7500 0.7500  4 Tc 3.23, 4 Br 3.23
Br 0.5000 0.5000 0.5000  8 Pb 3.23

## Properties
ρ = 9.491 g/cm³
formation energy without anion corrections = 0.73 eV/atom
total energy = -16.54 eV for the cell shown
space-group type = Fm-3m
magnetization = 0.6589 μB/atom

---

(2)
Compound: PaZn4Pd2
Source: Alexandria via LeMat-Bulk
Functional: PBE-GGA
Structure: optimized geometry

a = 8.4521 Å, b = 8.4521 Å, c = 3.8651 Å
α = 90.00°, β = 90.00°, γ = 153.73°
With the nearest neighbours (Å) after each atom.
Positions (direct):
Pa 0.0000 0.0000 0.0000  8 Pd 3.02
Zn 0.1879 0.8121 0.5000  2 Pd 2.62, 8 Zn 2.72-2.80
Zn 0.3110 0.6890 0.0000  2 Pd 2.64, 8 Zn 2.72-2.80
Zn 0.6890 0.3110 0.0000  2 Pd 2.64, 8 Zn 2.72-2.80
Zn 0.8121 0.1879 0.5000  2 Pd 2.62, 8 Zn 2.72-2.80
Pd 0.4202 0.5798 0.5000  4 Zn 2.62-2.64, 1 Pd 2.63
Pd 0.5798 0.4202 0.5000  4 Zn 2.62-2.64, 1 Pd 2.63

## Properties
ρ = 9.588 g/cm³
formation energy from the elements = -0.30 eV per atom
total energy = -27.04 eV for the cell shown
space-group type = Cmmm
magnetization = 0.0000 μB/atom

---

(3)
Compound: Li3PrGa3
Source: Alexandria via LeMat-Bulk
Functional: PBE-GGA
Structure: optimized geometry

a = 6.7462 Å, b = 6.7462 Å, c = 6.7462 Å
α = 73.13°, β = 73.13°, γ = 73.13°
With the nearest neighbours (Å) after each atom.
Positions (direct):
Li 0.2037 0.6471 0.4574  3 Ga 2.51-2.71, 2 Li 2.59
Li 0.3529 0.5426 0.7963  3 Ga 2.51-2.71, 2 Li 2.59
Li 0.4574 0.2037 0.6471  3 Ga 2.51-2.71, 2 Li 2.59
Li 0.5426 0.7963 0.3529  3 Ga 2.51-2.71, 2 Li 2.59
Li 0.6471 0.4574 0.2037  3 Ga 2.51-2.71, 2 Li 2.59
Li 0.7963 0.3529 0.5426  3 Ga 2.51-2.71, 2 Li 2.59
Pr 0.2013 0.2013 0.2013  3 Li 3.15, 6 Ga 3.17-3.22
Pr 0.7987 0.7987 0.7987  3 Li 3.15, 6 Ga 3.17-3.22
Ga 0.0516 0.3298 0.7600  3 Li 2.51-2.71, 2 Ga 2.68
Ga 0.2400 0.9484 0.6702  3 Li 2.51-2.71, 2 Ga 2.68
Ga 0.3298 0.7600 0.0516  3 Li 2.51-2.71, 2 Ga 2.68
Ga 0.6702 0.2400 0.9484  3 Li 2.51-2.71, 2 Ga 2.68
Ga 0.7600 0.0516 0.3298  3 Li 2.51-2.71, 2 Ga 2.68
Ga 0.9484 0.6702 0.2400  3 Li 2.51-2.71, 2 Ga 2.68

## Properties
ρ = 4.496 g/cm³
formation energy from the elements = -0.26 eV per atom
total energy = -42.78 eV for the cell shown
space-group type = R-3
magnetization = 0.0000 μB/atom

---

(4)
Compound: PrScBeCu
Source: Alexandria via LeMat-Bulk
Functional: PBE-GGA
Structure: optimized geometry

a = 4.8477 Å, b = 4.8477 Å, c = 4.8477 Å
α = 60.00°, β = 60.00°, γ = 60.00°
With the nearest neighbours (Å) after each atom.
Positions (direct):
Pr 0.0000 0.0000 0.0000  4 Cu 2.97, 4 Be 2.97
Sc 0.5000 0.5000 0.5000  4 Cu 2.97, 4 Be 2.97
Be 0.2500 0.2500 0.2500  4 Pr 2.97, 4 Sc 2.97
Cu 0.7500 0.7500 0.7500  4 Pr 2.97, 4 Sc 2.97

## Properties
ρ = 5.327 g/cm³
formation energy from the elements = 0.02 eV per atom
total energy = -18.85 eV for the cell shown
space-group type = F-43m
magnetization = 0.0000 μB/atom

---

(5)
Compound: Ti4BiC
Source: Alexandria via LeMat-Bulk
Functional: PBE-GGA
Structure: optimized geometry

a = 4.7679 Å, b = 3.1219 Å, c = 7.3581 Å
α = 90.00°, β = 107.24°, γ = 90.00°
With the nearest neighbours (Å) after each atom.
Positions (direct):
Ti 0.1002 0.0000 0.2414  1 C 2.09
Ti 0.3013 0.5000 0.5880  2 C 2.09
Ti 0.6987 0.5000 0.4120  2 C 2.09
Ti 0.8998 0.0000 0.7586  1 C 2.09
Bi 0.5000 0.5000 0.0000  2 Ti 2.90, 2 Bi 3.12
C 0.0000 0.0000 0.5000  6 Ti 2.09

## Properties
ρ = 6.548 g/cm³
formation energy from the elements = -0.26 eV per atom
total energy = -46.24 eV for the cell shown
space-group type = P2/m
magnetization = 0.0006 μB/atom

---

(6)
Compound: Pr2Dy3Ho6Sc
Source: Alexandria via LeMat-Bulk
Functional: PBE-GGA
Structure: optimized geometry

a = 6.1228 Å, b = 6.1228 Å, c = 11.7430 Å
α = 94.97°, β = 94.97°, γ = 119.99°
With the nearest neighbours (Å) after each atom.
Positions (direct):
Pr 0.1663 0.8337 0.0000  3 Pr 3.53-3.54, 3 Sc 3.53-3.54, 6 Ho 3.56
Pr 0.8337 0.1663 0.0000  3 Pr 3.53-3.54, 3 Sc 3.53-3.54, 6 Ho 3.56
Dy 0.0000 0.0000 0.5000  6 Ho 3.52-3.53, 6 Dy 3.53-3.54
Dy 0.3337 0.6663 0.5000  6 Ho 3.52-3.54, 6 Dy 3.53-3.54
Dy 0.6663 0.3337 0.5000  6 Ho 3.52-3.54, 6 Dy 3.53-3.54
Ho 0.0866 0.4167 0.7489  6 Ho 3.50-3.55, 3 Dy 3.52-3.54, 1 Sc 3.54, 2 Pr 3.56
Ho 0.2533 0.2533 0.2516  6 Ho 3.50-3.55, 3 Dy 3.52-3.53, 1 Sc 3.54, 2 Pr 3.56
Ho 0.4167 0.0866 0.7489  6 Ho 3.50-3.55, 3 Dy 3.52-3.54, 1 Sc 3.54, 2 Pr 3.56
Ho 0.5833 0.9134 0.2511  6 Ho 3.50-3.55, 3 Dy 3.52-3.54, 1 Sc 3.54, 2 Pr 3.56
Ho 0.7467 0.7467 0.7484  6 Ho 3.50-3.55, 3 Dy 3.52-3.53, 1 Sc 3.54, 2 Pr 3.56
Ho 0.9134 0.5833 0.2511  6 Ho 3.50-3.55, 3 Dy 3.52-3.54, 1 Sc 3.54, 2 Pr 3.56
Sc 0.5000 0.5000 0.0000  6 Pr 3.53-3.54, 6 Ho 3.54

## Properties
ρ = 7.976 g/cm³
formation energy from the elements = 0.03 eV per atom
total energy = -56.85 eV for the cell shown
space-group type = C2/m
magnetization = 0.0000 μB/atom

---

(7)
Compound: K3Mn2Se4
Source: Alexandria via LeMat-Bulk
Functional: PBE-GGA
Structure: optimized geometry

a = 7.7505 Å, b = 7.7505 Å, c = 10.1177 Å
α = 120.32°, β = 120.32°, γ = 32.17°
With the nearest neighbours (Å) after each atom.
Positions (direct):
K 0.0000 0.0000 0.0000  6 Se 3.23-3.53
K 0.3792 0.3792 0.2569  3 Se 3.23-3.39
K 0.6208 0.6208 0.7431  3 Se 3.23-3.39
Mn 0.3084 0.3084 0.6447  4 Se 2.36-2.59
Mn 0.6916 0.6916 0.3553  4 Se 2.36-2.59
Se 0.1173 0.1173 0.4071  3 Mn 2.59
Se 0.3107 0.3107 0.8799  1 Mn 2.36
Se 0.6893 0.6893 0.1201  1 Mn 2.36
Se 0.8827 0.8827 0.5929  3 Mn 2.59

## Properties
ρ = 3.275 g/cm³
formation energy without anion corrections = -0.81 eV/atom
total energy = -42.89 eV for the cell shown
space-group type = C2/m
magnetization = 1.0000 μB/atom

---

(8)
Compound: LiCe4Sm3Te8
Source: Alexandria via LeMat-Bulk
Functional: PBE-GGA
Structure: optimized geometry

a = 8.9474 Å, b = 8.9474 Å, c = 8.9474 Å
α = 59.51°, β = 59.51°, γ = 59.51°
With the nearest neighbours (Å) after each atom.
Positions (direct):
Li 0.0000 0.0000 0.0000  6 Te 3.05
Ce 0.0000 0.0000 0.5000  6 Te 3.17
Ce 0.0000 0.5000 0.0000  6 Te 3.17
Ce 0.5000 0.0000 0.0000  6 Te 3.17
Ce 0.5000 0.5000 0.5000  6 Te 3.25
Sm 0.0000 0.5000 0.5000  6 Te 3.13-3.14
Sm 0.5000 0.0000 0.5000  6 Te 3.13-3.14
Sm 0.5000 0.5000 0.0000  6 Te 3.13-3.14
Te 0.2423 0.2423 0.7549  1 Li 3.05, 2 Sm 3.13, 3 Ce 3.17-3.25
Te 0.2423 0.7549 0.2423  1 Li 3.05, 2 Sm 3.13, 3 Ce 3.17-3.25
Te 0.2451 0.7577 0.7577  1 Li 3.05, 2 Sm 3.13, 3 Ce 3.17-3.25
Te 0.2512 0.2512 0.2512  3 Sm 3.14, 3 Ce 3.17
Te 0.7488 0.7488 0.7488  3 Sm 3.14, 3 Ce 3.17
Te 0.7549 0.2423 0.2423  1 Li 3.05, 2 Sm 3.13, 3 Ce 3.17-3.25
Te 0.7577 0.2451 0.7577  1 Li 3.05, 2 Sm 3.13, 3 Ce 3.17-3.25
Te 0.7577 0.7577 0.2451  1 Li 3.05, 2 Sm 3.13, 3 Ce 3.17-3.25

## Properties
ρ = 6.762 g/cm³
formation energy without anion corrections = -1.36 eV/atom
total energy = -86.62 eV for the cell shown
space-group type = R-3m
magnetization = 0.3278 μB/atom

---

DOS at the Fermi energy / states/eV/cell: 4.40, 5.90, 4.12, 2.62, 6.39, 15.35, 4.23, 30.91